Record 1
# MgCdBiF6 PBE optimized geometry
# Energy relative to the elements, uncorrected (meV per atom): -2455
# Total magnetic moment (μB per cell): 0.000
data_MgCdBiF6
_chemical_formula_sum 'Mg2 Cd2 Bi2 F12'
_space_group_name_H-M_alt 'P -3 1 c'
_space_group_IT_number 163
_space_group_name_Hall '-P 3 2c'
_cell_length_a 5.9855
_cell_length_b 5.9855
_cell_length_c 8.3453
_cell_angle_alpha 90.00
_cell_angle_beta 90.00
_cell_angle_gamma 120.00
loop_
_atom_site_label
_atom_site_fract_x
_atom_site_fract_y
_atom_site_fract_z
Mg1 0.3333 0.6667 0.2500
Cd1 0.3333 0.6667 0.7500
Bi1 0.0000 0.0000 0.0000
F1 0.0354 0.3848 0.1235

---

Record 2
# RuRh2Au PBE optimized geometry
# Energy relative to the elements (meV/atom): 189
# Total magnetic moment (μB per cell): 1.356
# ΔE to the lowest computed polymorph (eV per formula unit): 0.452
data_RuRh2Au
_chemical_formula_sum 'Ru3 Rh6 Au3'
_space_group_name_H-M_alt 'R 3 m'
_space_group_IT_number 160
_space_group_name_Hall 'R 3 -2"'
_cell_length_a 2.7712
_cell_length_b 2.7712
_cell_length_c 27.2667
_cell_angle_alpha 90.00
_cell_angle_beta 90.00
_cell_angle_gamma 120.00
loop_
_atom_site_label
_atom_site_fract_x
_atom_site_fract_y
_atom_site_fract_z
Ru1 0.0000 0.0000 0.0000
Rh1 0.0000 0.0000 0.2570
Rh2 0.0000 0.0000 0.5092
Au1 0.0000 0.0000 0.7549

---

Number 1: theoretical density 5.90 g/cm3. Number 2: theoretical density 13.84 g/cm3.